Density functional theory data (PBE) for crystalline Nd6Ga2C at its relaxed geometry.

Lattice parameters (Å, degrees): 6.536 8.394 9.437 90.00 95.10 90.00
Fractional positions:
Nd 0.627 0.216 0.943
Nd 0.873 0.716 0.557
Nd 0.171 0.355 0.052
C 0.000 0.000 0.500
Nd 0.888 0.961 0.241
Nd 0.329 0.855 0.448
Nd 0.829 0.645 0.948
Ga 0.931 0.387 0.734
Ga 0.069 0.613 0.266
Nd 0.373 0.784 0.057
Nd 0.112 0.039 0.759
C 0.500 0.500 0.000
Ga 0.569 0.887 0.766
Nd 0.127 0.284 0.443
Ga 0.431 0.113 0.234
Nd 0.388 0.539 0.741
Nd 0.612 0.461 0.259
Nd 0.671 0.145 0.552

Computed properties:
V, Å³/atom: 28.65
Calculated total energy, eV per atom: -5.15
Symmetry: P2_1/c